i | Compound: Mo2AuBr
Source: the Alexandria database
Functional: PBE-GGA
Structure: optimized geometry

Cell lengths 4.7696, 4.7696, 2.9657 Å; angles 90.00, 90.00, 90.00 degrees
Closest atoms and distances in Å follow each position.
Element x y z (fractional)
Mo (0.0000, 0.5000, 0.0000)  4 Br 2.81, 4 Au 2.81, 2 Mo 2.97
Mo (0.5000, 0.0000, 0.0000)  4 Br 2.81, 4 Au 2.81, 2 Mo 2.97
Au (0.0000, 0.0000, 0.5000)  8 Mo 2.81, 2 Au 2.97
Br (0.5000, 0.5000, 0.5000)  8 Mo 2.81, 2 Br 2.97

---

ii | Compound: Mo2AuBr
Source: the Alexandria database
Functional: PBE-GGA
Structure: optimized geometry

Cell lengths 4.6416, 4.6416, 4.6416 Å; angles 60.00, 60.00, 60.00 degrees
Closest atoms and distances in Å follow each position.
Element x y z (fractional)
Mo (0.0000, 0.0000, 0.0000)  4 Mo 2.84, 4 Br 2.84
Mo (0.2500, 0.2500, 0.2500)  4 Au 2.84, 4 Mo 2.84
Au (0.5000, 0.5000, 0.5000)  4 Br 2.84, 4 Mo 2.84
Br (0.7500, 0.7500, 0.7500)  4 Mo 2.84, 4 Au 2.84

---

iii | Compound: Mo2AuBr
Source: the Alexandria database
Functional: PBE-GGA
Structure: optimized geometry

Cell lengths 3.1297, 4.7310, 4.7950 Å; angles 90.00, 90.00, 90.00 degrees
Closest atoms and distances in Å follow each position.
Element x y z (fractional)
Mo (0.0000, 0.0000, 0.0000)  6 Mo 2.84-3.13, 4 Br 2.86
Mo (0.5000, 0.5000, 0.0000)  6 Mo 2.84-3.13, 4 Au 2.86
Au (0.0000, 0.5000, 0.5000)  4 Br 2.84, 4 Mo 2.86, 2 Au 3.13
Br (0.5000, 0.0000, 0.5000)  4 Au 2.84, 4 Mo 2.86, 2 Br 3.13

---

Most favorable structure: i. The second most favorable one is 138 meV per atom above it.

---

i | Compound: Mo2AuBr
Source: the Alexandria database
Functional: PBE-GGA
Structure: optimized geometry

Cell lengths 4.5565, 4.5565, 4.5565 Å; angles 60.00, 60.00, 60.00 degrees
Closest atoms and distances in Å follow each position.
Element x y z (fractional)
Mo (0.2500, 0.2500, 0.2500)  4 Br 2.79, 4 Au 2.79
Mo (0.7500, 0.7500, 0.7500)  4 Br 2.79, 4 Au 2.79
Au (0.0000, 0.0000, 0.0000)  8 Mo 2.79
Br (0.5000, 0.5000, 0.5000)  8 Mo 2.79

---

ii | Compound: Mo2AuBr
Source: the Alexandria database
Functional: PBE-GGA
Structure: optimized geometry

Cell lengths 6.4542, 6.4542, 6.4542 Å; angles 151.73, 137.43, 51.89 degrees
Closest atoms and distances in Å follow each position.
Element x y z (fractional)
Mo (0.0000, 0.0000, 0.0000)  2 Mo 2.37
Mo (0.8478, 0.3478, 0.5000)  2 Mo 2.37
Au (0.3565, 0.8565, 0.5000)  6 Mo 2.83-2.87, 2 Au 3.15
Br (0.6236, 0.6236, 0.0000)  6 Mo 3.04-3.17, 2 Br 3.15

---

iii | Compound: Mo2AuBr
Source: the Alexandria database
Functional: PBE-GGA
Structure: optimized geometry

Cell lengths 9.0101, 9.0101, 9.0101 Å; angles 19.09, 19.09, 19.09 degrees
Closest atoms and distances in Å follow each position.
Element x y z (fractional)
Mo (0.2475, 0.2475, 0.2475)  3 Br 2.75, 3 Au 2.86, 6 Mo 2.99
Mo (0.7525, 0.7525, 0.7525)  3 Br 2.75, 3 Au 2.86, 6 Mo 2.99
Au (0.0000, 0.0000, 0.0000)  6 Mo 2.86, 6 Au 2.99
Br (0.5000, 0.5000, 0.5000)  6 Mo 2.75, 6 Br 2.99

---

Most favorable structure: ii. The second most favorable one is 148 meV per atom above it.

---

i | Compound: Mo2AuBr
Source: the Alexandria database
Functional: PBE-GGA
Structure: optimized geometry

Cell lengths 4.5373, 4.5373, 5.5477 Å; angles 99.38, 99.38, 38.07 degrees
Closest atoms and distances in Å follow each position.
Element x y z (fractional)
Mo (0.2502, 0.2502, 0.2376)  3 Br 2.70-2.75, 3 Au 2.79-2.80, 4 Mo 2.96-3.02
Mo (0.7498, 0.7498, 0.7624)  3 Br 2.70-2.75, 3 Au 2.79-2.80, 4 Mo 2.96-3.02
Au (0.0000, 0.0000, 0.5000)  6 Mo 2.79-2.80, 2 Au 2.96
Br (0.5000, 0.5000, 0.0000)  6 Mo 2.70-2.75, 2 Br 2.96

---

ii | Compound: Mo2AuBr
Source: the Alexandria database
Functional: PBE-GGA
Structure: optimized geometry

Cell lengths 2.9755, 2.9755, 9.5080 Å; angles 90.00, 90.00, 113.12 degrees
Closest atoms and distances in Å follow each position.
Element x y z (fractional)
Mo (0.0000, 0.0000, 0.0000)  2 Mo 2.50, 2 Br 2.78
Mo (0.5000, 0.5000, 0.1986)  2 Mo 2.50
Au (0.0000, 0.0000, 0.4414)  2 Mo 2.83, 4 Au 2.98
Br (0.5000, 0.5000, 0.7634)  2 Mo 2.78, 4 Br 2.98

---

iii | Compound: Mo2AuBr
Source: the Alexandria database
Functional: PBE-GGA
Structure: optimized geometry

Cell lengths 5.3368, 5.3368, 2.8889 Å; angles 98.94, 98.94, 116.53 degrees
Closest atoms and distances in Å follow each position.
Element x y z (fractional)
Mo (0.0000, 0.5000, 0.0000)  4 Mo 2.81-2.89, 2 Br 2.83, 2 Au 2.83
Mo (0.5000, 0.0000, 0.0000)  4 Mo 2.81-2.89, 2 Br 2.83, 2 Au 2.83
Au (0.0000, 0.0000, 0.5000)  2 Br 2.81, 4 Mo 2.83, 2 Au 2.89
Br (0.5000, 0.5000, 0.5000)  2 Au 2.81, 4 Mo 2.83, 2 Br 2.89

---

Most favorable structure: ii. The second most favorable one is 354 meV per atom above it.

---

i | Compound: MoAuBr
Source: the Alexandria database
Functional: PBE-GGA
Structure: optimized geometry

Cell lengths 6.9803, 6.9803, 6.9803 Å; angles 154.60, 154.60, 36.22 degrees
Closest atoms and distances in Å follow each position.
Element x y z (fractional)
Mo (0.0000, 0.0000, 0.0000)  4 Br 2.72, 4 Au 2.79
Au (0.3680, 0.3680, 0.0000)  4 Mo 2.79, 4 Au 3.07
Br (0.6230, 0.6230, 0.0000)  4 Mo 2.72

---

ii | Compound: MoAuBr
Source: the Alexandria database
Functional: PBE-GGA
Structure: optimized geometry

Cell lengths 4.4536, 4.4536, 4.4536 Å; angles 60.00, 60.00, 60.00 degrees
Closest atoms and distances in Å follow each position.
Element x y z (fractional)
Mo (0.0000, 0.0000, 0.0000)  4 Br 2.73, 4 Au 2.73
Au (0.2500, 0.2500, 0.2500)  4 Mo 2.73
Br (0.7500, 0.7500, 0.7500)  4 Mo 2.73

---

iii | Compound: MoAuBr
Source: the Alexandria database
Functional: PBE-GGA
Structure: optimized geometry

Cell lengths 8.0129, 7.6730, 3.1462 Å; angles 84.57, 72.42, 23.01 degrees
Closest atoms and distances in Å follow each position.
Element x y z (fractional)
Mo (0.0000, 0.0000, 0.0000)  2 Br 2.54, 2 Au 2.77
Au (0.3455, 0.3455, 0.6545)  2 Mo 2.77, 2 Au 3.02
Br (0.6359, 0.6359, 0.3641)  2 Mo 2.54

---

iv | Compound: MoAuBr
Source: the Alexandria database
Functional: PBE-GGA
Structure: optimized geometry

Cell lengths 4.7577, 4.7577, 4.7577 Å; angles 60.00, 60.00, 60.00 degrees
Closest atoms and distances in Å follow each position.
Element x y z (fractional)
Mo (0.0000, 0.0000, 0.0000)  4 Au 2.91
Au (0.2500, 0.2500, 0.2500)  4 Br 2.91, 4 Mo 2.91
Br (0.5000, 0.5000, 0.5000)  4 Au 2.91

---

Most favorable structure: i. The second most favorable one is 152 meV per atom above it.

---

i | Compound: MoAuBr
Source: the Alexandria database
Functional: PBE-GGA
Structure: optimized geometry

Cell lengths 4.6057, 4.6057, 2.9946 Å; angles 90.00, 90.00, 120.00 degrees
Closest atoms and distances in Å follow each position.
Element x y z (fractional)
Mo (0.0000, 0.0000, 0.0000)  3 Br 2.66
Au (0.6667, 0.3333, 0.5000)  2 Au 2.99, 6 Mo 3.05, 6 Br 3.05
Br (0.3333, 0.6667, 0.0000)  3 Mo 2.66

---

ii | Compound: MoAuBr
Source: the Alexandria database
Functional: PBE-GGA
Structure: optimized geometry

Cell lengths 3.1457, 3.1457, 7.0754 Å; angles 90.00, 90.00, 120.00 degrees
Closest atoms and distances in Å follow each position.
Element x y z (fractional)
Mo (0.0000, 0.0000, 0.0000)  3 Br 2.56, 3 Au 2.81
Au (0.6667, 0.3333, 0.3035)  3 Mo 2.81, 6 Au 3.15
Br (0.3333, 0.6667, 0.7442)  3 Mo 2.56

---

Most favorable structure: ii. The second most favorable one is 454 meV per atom above it.

---

i | Compound: AuBr2N
Source: the Alexandria database
Functional: PBE-GGA
Structure: optimized geometry

Cell lengths 4.8891, 4.8891, 4.8891 Å; angles 60.00, 60.00, 60.00 degrees
Closest atoms and distances in Å follow each position.
Element x y z (fractional)
Au (0.0000, 0.0000, 0.0000)  8 Br 2.99
Br (0.2500, 0.2500, 0.2500)  4 N 2.99, 4 Au 2.99
Br (0.7500, 0.7500, 0.7500)  4 Au 2.99, 4 N 2.99
N (0.5000, 0.5000, 0.5000)  8 Br 2.99

---

ii | Compound: AuBr2N
Source: the Alexandria database
Functional: PBE-GGA
Structure: optimized geometry

Cell lengths 7.3524, 7.3524, 7.3524 Å; angles 136.27, 136.27, 63.56 degrees
Closest atoms and distances in Å follow each position.
Element x y z (fractional)
Au (0.0000, 0.0000, 0.0000)  4 Br 2.80
Au (0.7500, 0.2500, 0.5000)  4 Br 2.80
Br (0.2168, 0.6250, 0.0918)  2 N 2.25
Br (0.3750, 0.4668, 0.5918)  2 N 2.25
Br (0.5332, 0.1250, 0.9082)  2 N 2.25
Br (0.8750, 0.7832, 0.4082)  2 N 2.25
N (0.2500, 0.7500, 0.5000)  4 Br 2.25
N (0.5000, 0.5000, 0.0000)  4 Br 2.25

---

Most favorable structure: ii. The second most favorable one is 310 meV per atom above it.

---

i | Compound: Au2BrN2
Source: the Alexandria database
Functional: PBE-GGA
Structure: optimized geometry

Cell lengths 3.3910, 6.5523, 8.2378 Å; angles 76.68, 80.82, 75.18 degrees
Closest atoms and distances in Å follow each position.
Element x y z (fractional)
Au (0.1693, 0.1613, 0.0005)  2 Au 2.65-2.66, 2 Br 2.73-2.74
Au (0.8307, 0.8387, 0.9995)  2 Au 2.65-2.66, 2 Br 2.73-2.74
Br (0.5000, 0.5000, 0.0000)  4 Au 2.73-2.74
N (0.0515, 0.4107, 0.5100)  1 N 1.11
N (0.9485, 0.5893, 0.4900)  1 N 1.11

---

ii | Compound: Au2BrN2
Source: the Alexandria database
Functional: PBE-GGA
Structure: optimized geometry

Cell lengths 7.2826, 7.2826, 7.0650 Å; angles 90.00, 90.00, 90.00 degrees
Closest atoms and distances in Å follow each position.
Element x y z (fractional)
Au (0.2488, 0.2512, 0.0000)  2 Br 2.57
Au (0.2512, 0.7512, 0.0000)  2 Br 2.57
Au (0.7488, 0.2488, 0.0000)  2 Br 2.57
Au (0.7512, 0.7488, 0.0000)  2 Br 2.57
Br (0.0000, 0.0000, 0.0000)  4 Au 2.57
Br (0.5000, 0.5000, 0.0000)  4 Au 2.57
N (0.0541, 0.4459, 0.5000)  1 N 1.11
N (0.4459, 0.9459, 0.5000)  1 N 1.11
N (0.5541, 0.0541, 0.5000)  1 N 1.11
N (0.9459, 0.5541, 0.5000)  1 N 1.11

---

Most favorable structure: i. The second most favorable one is 246 meV per atom above it.

---

i | Compound: Au2BrN
Source: the Alexandria database
Functional: PBE-GGA
Structure: optimized geometry

Cell lengths 7.1506, 7.1506, 7.1506 Å; angles 134.95, 134.95, 65.61 degrees
Closest atoms and distances in Å follow each position.
Element x y z (fractional)
Au (0.0000, 0.0000, 0.0000)  2 N 2.03
Au (0.0000, 0.0000, 0.5000)  2 N 2.03
Au (0.0000, 0.5000, 0.0000)  2 N 2.03
Au (0.5000, 0.0000, 0.5000)  2 N 2.03
Br (0.3750, 0.6250, 0.7500)  8 Au 3.41
Br (0.6250, 0.3750, 0.2500)  8 Au 3.41
N (0.1250, 0.8750, 0.2500)  4 Au 2.03
N (0.8750, 0.1250, 0.7500)  4 Au 2.03

---

ii | Compound: Au2BrN
Source: the Alexandria database
Functional: PBE-GGA
Structure: optimized geometry

Cell lengths 4.6723, 4.6723, 4.6723 Å; angles 60.00, 60.00, 60.00 degrees
Closest atoms and distances in Å follow each position.
Element x y z (fractional)
Au (0.2500, 0.2500, 0.2500)  4 Br 2.86, 4 N 2.86
Au (0.7500, 0.7500, 0.7500)  4 Br 2.86, 4 N 2.86
Br (0.0000, 0.0000, 0.0000)  8 Au 2.86
N (0.5000, 0.5000, 0.5000)  8 Au 2.86

---

Most favorable structure: i. The second most favorable one is 803 meV per atom above it.

---

i | Compound: TeAuBrN2
Source: the Alexandria database
Functional: PBE-GGA
Structure: optimized geometry

Cell lengths 4.2019, 4.2019, 6.1985 Å; angles 90.00, 90.00, 90.00 degrees
Closest atoms and distances in Å follow each position.
Element x y z (fractional)
Te (0.0000, 0.0000, 0.0000)  4 Br 2.97, 2 Au 3.10
Au (0.0000, 0.0000, 0.5000)  4 N 2.10
Br (0.5000, 0.5000, 0.0000)  4 Te 2.97
N (0.0000, 0.5000, 0.5000)  2 Au 2.10
N (0.5000, 0.0000, 0.5000)  2 Au 2.10

---

ii | Compound: TeAuBrN2
Source: the Alexandria database
Functional: PBE-GGA
Structure: optimized geometry

Cell lengths 3.9437, 3.9437, 8.3938 Å; angles 90.00, 90.00, 90.00 degrees
Closest atoms and distances in Å follow each position.
Element x y z (fractional)
Te (0.0000, 0.0000, 0.0000)  4 Au 2.79
Au (0.5000, 0.5000, 0.0000)  4 Te 2.79
Br (0.0000, 0.0000, 0.5000)  4 N 1.97
N (0.0000, 0.5000, 0.5000)  2 Br 1.97
N (0.5000, 0.0000, 0.5000)  2 Br 1.97

---

Most favorable structure: i. The second most favorable one is 386 meV per atom above it.

---

i | Compound: Te2AuBrN
Source: the Alexandria database
Functional: PBE-GGA
Structure: optimized geometry

Cell lengths 5.8074, 5.8074, 3.6576 Å; angles 90.00, 90.00, 90.00 degrees
Closest atoms and distances in Å follow each position.
Element x y z (fractional)
Te (0.0000, 0.5000, 0.0000)  2 Br 2.90
Te (0.5000, 0.0000, 0.0000)  2 Br 2.90
Au (0.0000, 0.0000, 0.5000)  8 Te 3.43, 2 Au 3.66
Br (0.5000, 0.5000, 0.0000)  2 N 1.83
N (0.5000, 0.5000, 0.5000)  2 Br 1.83

---

ii | Compound: Te2AuBrN
Source: the Alexandria database
Functional: PBE-GGA
Structure: optimized geometry

Cell lengths 5.9003, 5.9003, 3.7363 Å; angles 90.00, 90.00, 90.00 degrees
Closest atoms and distances in Å follow each position.
Element x y z (fractional)
Te (0.0000, 0.5000, 0.0000)  2 Au 2.95
Te (0.5000, 0.0000, 0.0000)  2 Au 2.95
Au (0.0000, 0.0000, 0.0000)  2 N 1.87
Br (0.5000, 0.5000, 0.5000)  8 Te 3.49, 2 Br 3.74
N (0.0000, 0.0000, 0.5000)  2 Au 1.87

---

Most favorable structure: ii. The second most favorable one is 470 meV per atom above it.

---

i | Compound: NaAuBr3
Source: the Alexandria database
Functional: PBE-GGA
Structure: optimized geometry

Cell lengths 5.4102, 5.4102, 5.4102 Å; angles 90.00, 90.00, 90.00 degrees
Closest atoms and distances in Å follow each position.
Element x y z (fractional)
Na (0.0000, 0.0000, 0.0000)  6 Br 2.71
Au (0.5000, 0.5000, 0.5000)  12 Br 3.83
Br (0.0000, 0.0000, 0.5000)  2 Na 2.71
Br (0.0000, 0.5000, 0.0000)  2 Na 2.71
Br (0.5000, 0.0000, 0.0000)  2 Na 2.71

---

ii | Compound: NaAuBr3
Source: the Alexandria database
Functional: PBE-GGA
Structure: optimized geometry

Cell lengths 5.3727, 5.3727, 5.3727 Å; angles 90.00, 90.00, 90.00 degrees
Closest atoms and distances in Å follow each position.
Element x y z (fractional)
Na (0.0000, 0.0000, 0.0000)  12 Br 3.80
Au (0.5000, 0.5000, 0.5000)  6 Br 2.69
Br (0.0000, 0.5000, 0.5000)  2 Au 2.69
Br (0.5000, 0.0000, 0.5000)  2 Au 2.69
Br (0.5000, 0.5000, 0.0000)  2 Au 2.69

---

iii | Compound: NaAuBr3
Source: the Alexandria database
Functional: PBE-GGA
Structure: optimized geometry

Cell lengths 5.2711, 8.1711, 8.2210 Å; angles 90.00, 101.03, 90.00 degrees
Closest atoms and distances in Å follow each position.
Element x y z (fractional)
Na (0.0508, 0.0000, 0.1764)  5 Br 3.03-3.15
Na (0.9492, 0.5000, 0.8236)  5 Br 3.03-3.15
Au (0.4330, 0.9989, 0.7695)  4 Br 2.48-2.65
Au (0.5670, 0.4989, 0.2305)  4 Br 2.48-2.65
Br (0.0575, 0.4980, 0.1985)  2 Au 2.65
Br (0.4263, 0.3031, 0.7504)  1 Au 2.49
Br (0.4257, 0.6955, 0.7480)  1 Au 2.48
Br (0.5743, 0.1955, 0.2520)  1 Au 2.48
Br (0.5737, 0.8031, 0.2496)  1 Au 2.49
Br (0.9425, 0.9980, 0.8015)  2 Au 2.65

---

Most favorable structure: iii. The second most favorable one is 121 meV per atom above it.